CoAs2F2: optimized geometry, GGA+U.

Geometry as POSCAR:
```
CoAs2F2
1.0
6.131 0.000 0.000
0.000 6.131 0.000
0.000 0.000 4.191
Co As F
2 4 4
direct
0.000 0.000 0.000 Co
0.500 0.500 0.000 Co
0.148 0.352 0.000 As
0.352 0.852 0.000 As
0.648 0.148 0.000 As
0.852 0.648 0.000 As
0.158 0.342 0.500 F
0.342 0.842 0.500 F
0.658 0.158 0.500 F
0.842 0.658 0.500 F
```

Results
raw total energy: -44.77 eV per cell
total magnetic moment: 0.200 μB/atom
energy relative to the lowest polymorph listed for this composition: 0.000 eV/atom
space-group type: P4/mbm (127)
calculated volume: 157.5 Å³ per cell